No. 1
# U2CuBr8

A relaxed U2CuBr8 crystal (PBE, the Alexandria database).

Cell: 8.1613 8.2543 8.2543 Å, 66.68 64.41 64.41°
Last column: nearest neighbours and their distance in Å.
Positions (direct):
1 Cu 0.0000 0.0000 0.0000  2 Br 2.30
2 Br 0.7547 0.7264 0.1407  2 U 2.86-2.87
3 Br 0.7547 0.1407 0.7264  2 U 2.86-2.87
4 Br 0.2453 0.8593 0.2736  2 U 2.86-2.87
5 Br 0.2650 0.8198 0.8198  1 Cu 2.30
6 Br 0.7350 0.1802 0.1802  1 Cu 2.30
7 Br 0.2453 0.2736 0.8593  2 U 2.86-2.87
8 Br 0.7755 0.6847 0.6847  1 U 2.68
9 Br 0.2245 0.3153 0.3153  1 U 2.68
10 U 0.4838 0.0930 0.0930  1 U 2.44, 1 Br 2.68
11 U 0.5162 0.9070 0.9070  1 U 2.44, 1 Br 2.68

Output
Raw formation energy = -0.99 eV per atom
Electronic total energy = -4.63 eV/atom
Spin magnetization = 1.08 μB/cell
Space group = C2/m, No. 12


No. 2
# VCu2Br6

A relaxed VCu2Br6 crystal (PBE, the Alexandria database).

Cell: 6.6432 9.2298 9.2298 Å, 77.54 85.20 85.20°
Last column: nearest neighbours and their distance in Å.
Positions (direct):
1 Cu 0.3006 0.3043 0.4697  3 Br 2.32-2.36
2 Cu 0.8006 0.4697 0.3043  3 Br 2.32-2.36
3 Cu 0.1994 0.5303 0.6957  3 Br 2.32-2.36
4 Cu 0.6994 0.6957 0.5303  3 Br 2.32-2.36
5 Br 0.1436 0.1227 0.6544  1 Cu 2.36, 1 V 2.48
6 Br 0.6436 0.6544 0.1227  1 Cu 2.36, 1 V 2.48
7 Br 0.1551 0.4694 0.2740  2 Cu 2.32-2.35
8 Br 0.3449 0.7260 0.5306  2 Cu 2.32-2.35
9 Br 0.4093 0.0285 0.1657  2 V 2.54-2.59
10 Br 0.0907 0.8343 0.9715  2 V 2.54-2.59
11 Br 0.6551 0.2740 0.4694  2 Cu 2.32-2.35
12 Br 0.5907 0.9715 0.8343  2 V 2.54-2.59
13 Br 0.9093 0.1657 0.0285  2 V 2.54-2.59
14 Br 0.8449 0.5306 0.7260  2 Cu 2.32-2.35
15 Br 0.8564 0.8773 0.3456  1 Cu 2.36, 1 V 2.48
16 Br 0.3564 0.3456 0.8773  1 Cu 2.36, 1 V 2.48
17 V 0.7500 0.9115 0.0885  6 Br 2.48-2.59
18 V 0.2500 0.0885 0.9115  6 Br 2.48-2.59

Output
Raw formation energy = -0.53 eV per atom
Electronic total energy = -3.57 eV/atom
Distance to the lowest polymorph of the same formula = 0 meV/atom
Spin magnetization = 2.02 μB/cell
Space group = C2/c, No. 15


No. 3
# VCuBr3

A relaxed VCuBr3 crystal (PBE, the Alexandria database).

Cell: 5.1258 5.1258 5.1258 Å, 90.00 90.00 90.00°
Last column: nearest neighbours and their distance in Å.
Positions (direct):
1 Br 0.5000 0.0000 0.0000  2 V 2.56
2 Br 0.0000 0.0000 0.5000  2 V 2.56
3 Br 0.0000 0.5000 0.0000  2 V 2.56
4 Cu 0.5000 0.5000 0.5000  12 Br 3.62
5 V 0.0000 0.0000 0.0000  6 Br 2.56

Output
Raw formation energy = -0.03 eV per atom
Electronic total energy = -3.68 eV/atom
Distance to the lowest polymorph of the same formula = 0 meV/atom
Spin magnetization = 2.90 μB/cell
Space group = Pm-3m, No. 221


No. 4
# VCuBr2

A relaxed VCuBr2 crystal (PBE, the Alexandria database).

Cell: 6.0012 6.0012 7.0544 Å, 64.83 64.83 90.00°
Last column: nearest neighbours and their distance in Å.
Positions (direct):
1 V 0.2500 0.7500 0.5000  4 Br 2.62
2 V 0.5000 0.5000 0.0000  4 Br 2.62
3 Br 0.1056 0.6250 0.2500  2 Cu 2.48, 2 V 2.62
4 Br 0.3750 0.3556 0.7500  2 Cu 2.48, 2 V 2.62
5 Br 0.6444 0.1250 0.2500  2 Cu 2.48, 2 V 2.62
6 Br 0.8750 0.8944 0.7500  2 Cu 2.48, 2 V 2.62
7 Cu 0.7500 0.2500 0.5000  4 Br 2.48
8 Cu 0.0000 0.0000 0.0000  4 Br 2.48

Output
Raw formation energy = 0.10 eV per atom
Electronic total energy = -4.04 eV/atom
Distance to the lowest polymorph of the same formula = 0 meV/atom
Spin magnetization = 7.86 μB/cell
Space group = I-42d, No. 122


No. 5
# V3CuBr

A relaxed V3CuBr crystal (PBE, the Alexandria database).

Cell: 4.4826 4.4826 4.4826 Å, 90.00 90.00 90.00°
Last column: nearest neighbours and their distance in Å.
Positions (direct):
1 Cu 0.5000 0.5000 0.5000  12 V 3.17
2 V 0.0000 0.0000 0.5000  2 Br 2.24
3 V 0.5000 0.0000 0.0000  2 Br 2.24
4 V 0.0000 0.5000 0.0000  2 Br 2.24
5 Br 0.0000 0.0000 0.0000  6 V 2.24

Output
Raw formation energy = 1.20 eV per atom
Electronic total energy = -5.43 eV/atom
Distance to the lowest polymorph of the same formula = 0 meV/atom
Spin magnetization = 4.15 μB/cell
Space group = Pm-3m, No. 221


No. 6
# V3CuBr

A relaxed V3CuBr crystal (PBE, the Alexandria database).

Cell: 4.6655 4.6655 4.6655 Å, 90.00 90.00 90.00°
Last column: nearest neighbours and their distance in Å.
Positions (direct):
1 V 0.0000 0.0000 0.5000  2 Cu 2.33
2 V 0.5000 0.0000 0.0000  2 Cu 2.33
3 V 0.0000 0.5000 0.0000  2 Cu 2.33
4 Cu 0.0000 0.0000 0.0000  6 V 2.33
5 Br 0.5000 0.5000 0.5000  12 V 3.30

Output
Raw formation energy = 1.25 eV per atom
Electronic total energy = -5.38 eV/atom
Distance to the lowest polymorph of the same formula = 51 meV/atom
Spin magnetization = 7.43 μB/cell
Space group = Pm-3m, No. 221


No. 7
# VCu2Br6

A relaxed VCu2Br6 crystal (PBE, the Alexandria database).

Cell: 6.2764 9.7685 9.7685 Å, 89.26 89.87 89.87°
Last column: nearest neighbours and their distance in Å.
Positions (direct):
1 Br 0.8892 0.0808 0.6921  1 V 2.35
2 Br 0.5974 0.7339 0.5049  2 Cu 2.30-2.33
3 Br 0.6108 0.3079 0.9192  1 V 2.35
4 Br 0.1108 0.9192 0.3079  1 V 2.35
5 Br 0.4197 0.9637 0.8408  2 V 2.50-2.65
6 Br 0.9197 0.8408 0.9637  2 V 2.50-2.65
7 Br 0.3892 0.6921 0.0808  1 V 2.35
8 Br 0.0803 0.1592 0.0363  2 V 2.50-2.65
9 Br 0.5803 0.0363 0.1592  2 V 2.50-2.65
10 Br 0.4026 0.2661 0.4951  2 Cu 2.30-2.33
11 Br 0.0974 0.5049 0.7339  2 Cu 2.30-2.33
12 Br 0.9026 0.4951 0.2661  2 Cu 2.30-2.33
13 Cu 0.6303 0.4332 0.4163  2 Br 2.30-2.33
14 Cu 0.8697 0.5837 0.5668  2 Br 2.30-2.33
15 Cu 0.1303 0.4163 0.4332  2 Br 2.30-2.33
16 Cu 0.3697 0.5668 0.5837  2 Br 2.30-2.33
17 V 0.2500 0.9152 0.0848  4 Br 2.35-2.50
18 V 0.7500 0.0848 0.9152  4 Br 2.35-2.50

Output
Raw formation energy = -0.51 eV per atom
Electronic total energy = -3.54 eV/atom
Distance to the lowest polymorph of the same formula = 24 meV/atom
Spin magnetization = 1.95 μB/cell
Space group = C2/c, No. 15


No. 8
# V2CuBr6

A relaxed V2CuBr6 crystal (PBE, the Alexandria database).

Cell: 6.8275 10.1666 10.1666 Å, 89.01 70.42 70.42°
Last column: nearest neighbours and their distance in Å.
Positions (direct):
1 Br 0.9259 0.2417 0.9485  1 V 2.42, 1 Cu 2.46
2 Br 0.3861 0.4437 0.7461  1 V 2.42, 1 Cu 2.45
3 Br 0.4259 0.9485 0.2417  1 V 2.42, 1 Cu 2.46
4 Br 0.8861 0.7461 0.4437  1 V 2.42, 1 Cu 2.45
5 Br 0.2496 0.8366 0.6560  2 V 2.49
6 Br 0.5741 0.0515 0.7583  1 V 2.42, 1 Cu 2.46
7 Br 0.7504 0.1634 0.3440  2 V 2.49
8 Br 0.2504 0.3440 0.1634  2 V 2.49
9 Br 0.6139 0.5563 0.2539  1 V 2.42, 1 Cu 2.45
10 Br 0.1139 0.2539 0.5563  1 V 2.42, 1 Cu 2.45
11 Br 0.7496 0.6560 0.8366  2 V 2.49
12 Br 0.0741 0.7583 0.0515  1 V 2.42, 1 Cu 2.46
13 V 0.3901 0.1804 0.3232  4 Br 2.42-2.49
14 V 0.1099 0.6768 0.8196  4 Br 2.42-2.49
15 V 0.6099 0.8196 0.6768  4 Br 2.42-2.49
16 V 0.8901 0.3232 0.1804  4 Br 2.42-2.49
17 Cu 0.2500 0.2484 0.7516  4 Br 2.45-2.46
18 Cu 0.7500 0.7516 0.2484  4 Br 2.45-2.46

Output
Raw formation energy = -0.57 eV per atom
Electronic total energy = -4.17 eV/atom
Spin magnetization = 10.00 μB/cell
Space group = C2/c, No. 15